Y2Tc2Mo: optimized geometry, PBE-GGA.

Computed properties:
calculated formation energy	0.049	eV per atom
volume	20.90	Å³/atom

```
data_Y2Tc2Mo
_space_group_name_H-M_alt 'P 4/m b m'
_space_group_IT_number 127
_space_group_name_Hall '-P 4 2ab'
_cell_length_a 6.550
_cell_length_b 6.550
_cell_length_c 4.872
_cell_angle_alpha 90.00
_cell_angle_beta 90.00
_cell_angle_gamma 90.00
loop_
_atom_site_label
_atom_site_type_symbol
_atom_site_fract_x
_atom_site_fract_y
_atom_site_fract_z
Y1 Y 0.178 0.322 0.000
Tc1 Tc 0.132 0.632 0.500
Mo1 Mo 0.000 0.000 0.500
```

YTc2Mo2: optimized geometry, PBE-GGA.

Computed properties:
calculated formation energy	0.058	eV per atom
volume	19.55	Å³/atom
energy above the most stable polymorph in this dataset	0	meV/atom

```
data_YTc2Mo2
_space_group_name_H-M_alt 'I 4/m m m'
_space_group_IT_number 139
_space_group_name_Hall '-I 4 2'
_cell_length_a 4.349
_cell_length_b 4.349
_cell_length_c 10.335
_cell_angle_alpha 90.00
_cell_angle_beta 90.00
_cell_angle_gamma 90.00
loop_
_atom_site_label
_atom_site_type_symbol
_atom_site_fract_x
_atom_site_fract_y
_atom_site_fract_z
Y1 Y 0.000 0.000 0.000
Tc1 Tc 0.000 0.000 0.377
Mo1 Mo 0.000 0.500 0.250
```

YTcMo: optimized geometry, PBE-GGA.

Computed properties:
calculated formation energy	-0.059	eV per atom
volume	19.27	Å³/atom
energy above the most stable polymorph in this dataset	0	meV/atom

```
data_YTcMo
_space_group_name_H-M_alt 'I m m a'
_space_group_IT_number 74
_space_group_name_Hall '-I 2b 2'
_cell_length_a 5.459
_cell_length_b 5.522
_cell_length_c 7.673
_cell_angle_alpha 90.00
_cell_angle_beta 90.00
_cell_angle_gamma 90.00
loop_
_atom_site_label
_atom_site_type_symbol
_atom_site_fract_x
_atom_site_fract_y
_atom_site_fract_z
Y1 Y 0.000 0.250 0.127
Tc1 Tc 0.000 0.000 0.500
Mo1 Mo 0.250 0.250 0.750
```

Y2TcMo: optimized geometry, PBE-GGA.

Computed properties:
calculated formation energy	0.215	eV per atom
volume	22.90	Å³/atom
energy above the most stable polymorph in this dataset	168	meV/atom

```
data_Y2TcMo
_space_group_name_H-M_alt 'P 1 m 1'
_space_group_IT_number 6
_cell_length_a 3.422
_cell_length_b 4.262
_cell_length_c 6.453
_cell_angle_alpha 90.00
_cell_angle_beta 103.31
_cell_angle_gamma 90.00
loop_
_space_group_symop_operation_xyz
'x,y,z'
'x,-y,z'
loop_
_atom_site_label
_atom_site_type_symbol
_atom_site_fract_x
_atom_site_fract_y
_atom_site_fract_z
Y1 Y 0.000 0.000 0.000
Y2 Y 0.288 0.500 0.643
Tc1 Tc 0.591 0.000 0.406
Mo1 Mo 0.692 0.500 0.237
```

YTcMo2: optimized geometry, PBE-GGA.

Computed properties:
calculated formation energy	0.496	eV per atom
volume	18.12	Å³/atom
energy above the most stable polymorph in this dataset	328	meV/atom

```
data_YTcMo2
_space_group_name_H-M_alt 'P 4/m m m'
_space_group_IT_number 123
_space_group_name_Hall '-P 4 2'
_cell_length_a 3.855
_cell_length_b 3.855
_cell_length_c 4.877
_cell_angle_alpha 90.00
_cell_angle_beta 90.00
_cell_angle_gamma 90.00
loop_
_atom_site_label
_atom_site_type_symbol
_atom_site_fract_x
_atom_site_fract_y
_atom_site_fract_z
Y1 Y 0.000 0.000 0.000
Tc1 Tc 0.500 0.500 0.000
Mo1 Mo 0.000 0.500 0.500
```

Y2TcMo: optimized geometry, PBE-GGA.

Computed properties:
calculated formation energy	0.475	eV per atom
volume	20.66	Å³/atom
energy above the most stable polymorph in this dataset	428	meV/atom

```
data_Y2TcMo
_space_group_name_H-M_alt 'C m m m'
_space_group_IT_number 65
_space_group_name_Hall '-C 2 2'
_cell_length_a 3.507
_cell_length_b 5.064
_cell_length_c 9.306
_cell_angle_alpha 90.00
_cell_angle_beta 90.00
_cell_angle_gamma 90.00
loop_
_atom_site_label
_atom_site_type_symbol
_atom_site_fract_x
_atom_site_fract_y
_atom_site_fract_z
Y1 Y 0.000 0.000 0.238
Tc1 Tc 0.000 0.500 0.000
Mo1 Mo 0.000 0.500 0.500
```

ZnTcMo2: optimized geometry, PBE-GGA.

Computed properties:
calculated formation energy	0.205	eV per atom
volume	15.37	Å³/atom

```
data_ZnTcMo2
_space_group_name_H-M_alt 'R 3 m'
_space_group_IT_number 160
_space_group_name_Hall 'R 3 -2"'
_cell_length_a 2.8010
_cell_length_b 2.8010
_cell_length_c 27.1383
_cell_angle_alpha 90.00
_cell_angle_beta 90.00
_cell_angle_gamma 120.00
loop_
_atom_site_label
_atom_site_type_symbol
_atom_site_fract_x
_atom_site_fract_y
_atom_site_fract_z
Zn1 Zn 0.0000 0.0000 0.0000
Tc1 Tc 0.0000 0.0000 0.7487
Mo1 Mo 0.0000 0.0000 0.2479
Mo2 Mo 0.0000 0.0000 0.4938
```

Zn2Tc2Mo: optimized geometry, PBE-GGA.

Computed properties:
calculated formation energy	0.310	eV per atom
volume	14.56	Å³/atom
energy above the most stable polymorph in this dataset	0	meV/atom

```
data_Zn2Tc2Mo
_space_group_name_H-M_alt 'P 4/m b m'
_space_group_IT_number 127
_space_group_name_Hall '-P 4 2ab'
_cell_length_a 6.792
_cell_length_b 6.792
_cell_length_c 3.157
_cell_angle_alpha 90.00
_cell_angle_beta 90.00
_cell_angle_gamma 90.00
loop_
_atom_site_label
_atom_site_type_symbol
_atom_site_fract_x
_atom_site_fract_y
_atom_site_fract_z
Zn1 Zn 0.125 0.375 0.000
Tc1 Tc 0.174 0.674 0.500
Mo1 Mo 0.000 0.000 0.000
```

Question: calculated formation energy of number 8 (Zn2Tc2Mo)?
Answer: 0.310 eV per atom

Question: What is the formula in the third record?
Answer: YTcMo

Question: Number 4 is which compound?
Answer: Y2TcMo

Question: Which value of calculated formation energy does entry 5 give?
Answer: 0.496 eV per atom